A plane-wave DFT calculation with PBE was carried out for a relaxed structure of Tm12Cd6Co.

Summary:
Total energy in eV per atom: -3.568
ρ in g cm⁻³: 8.7
Density of states at the Fermi level in states/eV per cell: 50.79
Total magnetization in Bohr magnetons per cell: 0.0

Cell: 11.8970 11.8970 12.8958 Å, 90.00 90.00 120.00°
Space group R-3 (No. 148, hexagonal axes)
Symmetry-distinct sites (fractional):
Tm  0.0339  0.1828  0.3743 x18
Tm  0.0369  0.8513  0.8898 x18
Cd  0.0022  0.6058  0.7575 x18
Co  0.0000  0.0000  0.5000 x3

A plane-wave DFT calculation with PBE was carried out for a relaxed structure of Dy5HoRu4.

Summary:
Total energy in eV per atom: -6.750
ρ in g cm⁻³: 9.9
Density of states at the Fermi level in states/eV per cell: 15.58
Total magnetization in Bohr magnetons per cell: 0.0

Cell: 14.3608 4.8353 6.7079 Å, 90.00 90.10 90.00°
Space group C2/m (No. 12)
Symmetry-distinct sites (fractional):
Dy  0.0000  0.0000  0.0000 x2
Dy  0.1665  0.5000  0.0009 x4
Dy  0.1664  0.5000  0.5003 x4
Ho  0.0000  0.0000  0.5000 x2
Ru  0.0008  0.5000  0.7496 x4
Ru  0.1647  0.0000  0.7502 x4